Record 1
# KMo2Ir, optimized geometry, DFT PBE-GGA
data_KMo2Ir
_chemical_formula_sum 'K4 Mo8 Ir4'
_space_group_name_H-M_alt 'I -4 2 d'
_space_group_IT_number 122
_space_group_name_Hall 'I -4 2bw'
_cell_length_a 4.434
_cell_length_b 4.434
_cell_length_c 18.055
_cell_angle_alpha 90.00
_cell_angle_beta 90.00
_cell_angle_gamma 90.00
loop_
_atom_site_label
_atom_site_fract_x
_atom_site_fract_y
_atom_site_fract_z
K1 0.000 0.000 0.000
Mo1 0.146 0.250 0.625
Ir1 0.000 0.000 0.500
# Offset from the most stable computed form ... 0.875 eV per atom
# Size of the total moment ... 0.00 μB/f.u.



Record 2
# KMoIr2, optimized geometry, DFT PBE-GGA
data_KMoIr2
_chemical_formula_sum 'K4 Mo4 Ir8'
_space_group_name_H-M_alt 'F -4 3 m'
_space_group_IT_number 216
_space_group_name_Hall 'F -4 2 3'
_cell_length_a 6.460
_cell_length_b 6.460
_cell_length_c 6.460
_cell_angle_alpha 90.00
_cell_angle_beta 90.00
_cell_angle_gamma 90.00
loop_
_atom_site_label
_atom_site_fract_x
_atom_site_fract_y
_atom_site_fract_z
K1 0.000 0.000 0.000
Mo1 0.250 0.250 0.250
Ir1 0.000 0.000 0.500
Ir2 0.250 0.250 0.750
# Offset from the most stable computed form ... 0.916 eV per atom
# Size of the total moment ... 0.00 μB/f.u.



Record 3
# K2Mo4Ir, optimized geometry, DFT PBE-GGA
data_K2Mo4Ir
_chemical_formula_sum 'K4 Mo8 Ir2'
_space_group_name_H-M_alt 'I 4/m m m'
_space_group_IT_number 139
_space_group_name_Hall '-I 4 2'
_cell_length_a 4.897
_cell_length_b 4.897
_cell_length_c 17.451
_cell_angle_alpha 90.00
_cell_angle_beta 90.00
_cell_angle_gamma 90.00
loop_
_atom_site_label
_atom_site_fract_x
_atom_site_fract_y
_atom_site_fract_z
K1 0.000 0.000 0.153
Mo1 0.000 0.000 0.360
Mo2 0.000 0.500 0.000
Ir1 0.000 0.000 0.500
# Size of the total moment ... 8.44 μB/f.u.



Record 4
# KMo2Ir, optimized geometry, DFT PBE-GGA
data_KMo2Ir
_chemical_formula_sum 'K4 Mo8 Ir4'
_space_group_name_H-M_alt 'F m -3 m'
_space_group_IT_number 225
_space_group_name_Hall '-F 4 2 3'
_cell_length_a 6.466
_cell_length_b 6.466
_cell_length_c 6.466
_cell_angle_alpha 90.00
_cell_angle_beta 90.00
_cell_angle_gamma 90.00
loop_
_atom_site_label
_atom_site_fract_x
_atom_site_fract_y
_atom_site_fract_z
K1 0.000 0.000 0.000
Mo1 0.250 0.250 0.250
Ir1 0.000 0.000 0.500
# Offset from the most stable computed form ... 0.687 eV per atom
# Size of the total moment ... 0.00 μB/f.u.



Record 5
# K2MoIr, optimized geometry, DFT PBE-GGA
data_K2MoIr
_chemical_formula_sum 'K6 Mo3 Ir3'
_space_group_name_H-M_alt 'R -3 m'
_space_group_IT_number 166
_space_group_name_Hall '-R 3 2"'
_cell_length_a 2.8500
_cell_length_b 2.8500
_cell_length_c 35.5145
_cell_angle_alpha 90.00
_cell_angle_beta 90.00
_cell_angle_gamma 120.00
loop_
_atom_site_label
_atom_site_fract_x
_atom_site_fract_y
_atom_site_fract_z
K1 0.0000 0.0000 0.2446
Mo1 0.0000 0.0000 0.0000
Ir1 0.0000 0.0000 0.5000
# Offset from the most stable computed form ... 0.584 eV per atom
# Size of the total moment ... 0.00 μB/f.u.



Record 6
# KMo2Ir, optimized geometry, DFT PBE-GGA
data_KMo2Ir
_chemical_formula_sum 'K2 Mo4 Ir2'
_space_group_name_H-M_alt 'C m m m'
_space_group_IT_number 65
_space_group_name_Hall '-C 2 2'
_cell_length_a 5.482
_cell_length_b 9.691
_cell_length_c 2.670
_cell_angle_alpha 90.00
_cell_angle_beta 90.00
_cell_angle_gamma 90.00
loop_
_atom_site_label
_atom_site_fract_x
_atom_site_fract_y
_atom_site_fract_z
K1 0.000 0.000 0.000
Mo1 0.250 0.250 0.500
Ir1 0.000 0.500 0.000
# Offset from the most stable computed form ... 0.657 eV per atom
# Size of the total moment ... 0.00 μB/f.u.



Record 7
# KMoIr2, optimized geometry, DFT PBE-GGA
data_KMoIr2
_chemical_formula_sum 'K2 Mo2 Ir4'
_space_group_name_H-M_alt 'C m m m'
_space_group_IT_number 65
_space_group_name_Hall '-C 2 2'
_cell_length_a 2.935
_cell_length_b 4.705
_cell_length_c 10.133
_cell_angle_alpha 90.00
_cell_angle_beta 90.00
_cell_angle_gamma 90.00
loop_
_atom_site_label
_atom_site_fract_x
_atom_site_fract_y
_atom_site_fract_z
K1 0.000 0.000 0.000
Mo1 0.000 0.000 0.500
Ir1 0.000 0.500 0.281
# Offset from the most stable computed form ... 0.205 eV per atom
# Size of the total moment ... 0.00 μB/f.u.



Record 8
# K2MoIr, optimized geometry, DFT PBE-GGA
data_K2MoIr
_chemical_formula_sum 'K4 Mo2 Ir2'
_space_group_name_H-M_alt 'C 1 2/m 1'
_space_group_IT_number 12
_cell_length_a 5.562
_cell_length_b 11.834
_cell_length_c 2.830
_cell_angle_alpha 90.00
_cell_angle_beta 116.88
_cell_angle_gamma 90.00
loop_
_space_group_symop_operation_xyz
'x,y,z'
'-x,-y,-z'
'-x,y,-z'
'x,-y,z'
'x+1/2,y+1/2,z'
'-x+1/2,-y+1/2,-z'
'-x+1/2,y+1/2,-z'
'x+1/2,-y+1/2,z'
loop_
_atom_site_label
_atom_site_fract_x
_atom_site_fract_y
_atom_site_fract_z
K1 0.250 0.250 0.000
Mo1 0.000 0.000 0.500
Ir1 0.000 0.500 0.500
# Offset from the most stable computed form ... 0.554 eV per atom
# Size of the total moment ... 0.27 μB/f.u.



| no. | ΔH_f (0 K) (eV/f.u.) |
| --- | --- |
| 1 | 5.88 |
| 2 | 4.86 |
| 3 | 13.79 |
| 4 | 5.13 |
| 5 | 4.67 |
| 6 | 5.01 |
| 7 | 2.01 |
| 8 | 4.55 |